Here is an optimized crystal structure of RbCoAg2Pt from Alexandria. Energies are from PBE.

a = 5.5094 Å, b = 5.5094 Å, c = 5.2530 Å
α = 90.00°, β = 90.00°, γ = 90.00°
Last column: nearest neighbours and their distance in Å.
Space group P4/mmm (No. 123)
One atom of each set of equivalent atoms:
Rb (0.0000, 0.0000, 0.0000) [1 per cell]  2 Pt 2.63, 4 Ag 2.75
Co (0.5000, 0.5000, 0.5000) [1 per cell]  8 Ag 3.81, 4 Pt 3.90
Ag (0.0000, 0.5000, 0.0000) [2 per cell]  2 Rb 2.75
Pt (0.0000, 0.0000, 0.5000) [1 per cell]  2 Rb 2.63

Properties
energy relative to the elements: 2.080 eV per atom

***

Here is an optimized crystal structure of SbIrBr from Alexandria. Energies are from PBE.

a = 6.4995 Å, b = 6.4995 Å, c = 6.4995 Å
α = 90.00°, β = 90.00°, γ = 90.00°
Last column: nearest neighbours and their distance in Å.
Space group F-43m (No. 216)
One atom of each set of equivalent atoms:
Sb (0.0000, 0.0000, 0.0000) [4 per cell]  4 Ir 2.81
Ir (0.2500, 0.2500, 0.7500) [4 per cell]  4 Sb 2.81, 4 Br 2.81
Br (0.0000, 0.0000, 0.5000) [4 per cell]  4 Ir 2.81

Properties
uncorrected formation energy: 27 kJ per mole of atoms

***

Here is an optimized crystal structure of BaCaBi from Alexandria. Energies are from PBE.

a = 9.6436 Å, b = 5.5692 Å, c = 10.0744 Å
α = 90.00°, β = 108.55°, γ = 90.00°
Last column: nearest neighbours and their distance in Å.
Space group C2/m (No. 12)
One atom of each set of equivalent atoms:
Ba (0.1277, 0.0000, 0.3828) [4 per cell]  4 Bi 3.59-3.83, 3 Ba 3.92
Ca (0.1258, 0.5000, 0.8778) [4 per cell]  4 Bi 3.23-3.34
Bi (0.2390, 0.5000, 0.2164) [4 per cell]  4 Ca 3.23-3.34, 3 Ba 3.59

Properties
energy relative to the elements: -0.683 eV per atom

***

Here is an optimized crystal structure of Li2YGaC from Alexandria. Energies are from PBE.

a = 6.0696 Å, b = 6.0696 Å, c = 5.4250 Å
α = 90.00°, β = 90.00°, γ = 90.00°
Last column: nearest neighbours and their distance in Å.
Space group P4/mmm (No. 123)
One atom of each set of equivalent atoms:
Li (0.0000, 0.5000, 0.0000) [2 per cell]  2 Y 3.03
Y (0.0000, 0.0000, 0.0000) [1 per cell]  2 Ga 2.71, 4 Li 3.03
Ga (0.0000, 0.0000, 0.5000) [1 per cell]  2 Y 2.71
C (0.5000, 0.5000, 0.5000) [1 per cell]  8 Li 4.07, 4 Ga 4.29

Properties
energy relative to the elements: 2.174 eV per atom

***

What did we get for spin magnetization? Answer: 0.4090; 0.0000; 0.0000; 0.1021 μB per atom, in the order shown.